Crystalline Ce2TmThP4 at its relaxed geometry. Source: Alexandria, functional PBE.

Unit cell a=7.046 b=4.080 c=7.067 alpha=90.00 beta=109.49 gamma=90.00
Space group P2/m (No. 10)
Symmetry-distinct sites (fractional):
Ce1 0.000 0.000 0.000 [1 per cell]
Ce2 0.500 0.500 0.000 [1 per cell]
Tm1 0.000 0.500 0.500 [1 per cell]
Th1 0.500 0.000 0.500 [1 per cell]
P1 0.243 0.000 0.745 [2 per cell]
P2 0.244 0.500 0.251 [2 per cell]

Computed properties:
- raw total energy (eV per atom) = -7.215
- energy of formation (eV per atom) = -1.54